The following is a GGA-PBE calculation of a relaxed Ba2CuCl6 crystal, from OQMD.

Cell: 4.9796 4.9796 18.4226 Å, 90.00 90.00 90.00°
With the nearest neighbours (Å) after each atom.
Space group I4/mmm (No. 139)
One atom of each set of equivalent atoms:
Ba  0.0000  0.0000  0.1441 x4  4 Cl 3.16
Cu  0.0000  0.0000  0.5000 x2  6 Cl 2.24-2.49
Cl  0.0000  0.0000  0.3786 x4  1 Cu 2.24
Cl  0.0000  0.5000  0.0000 x4  2 Cu 2.49
Cl  0.0000  0.5000  0.2500 x4  4 Ba 3.16, 8 Cl 3.44-3.52

As for the total energy: -34.83 eV/f.u. The density comes out at 4.01 g cm⁻³.